This record from the Alexandria database describes a crystal of CeFe4As12 relaxed with PBEsol. The functional is SCAN.

CIF file:
```
data_CeFe4As12
_space_group_name_H-M_alt 'I m -3'
_space_group_IT_number 204
_space_group_name_Hall '-I 2 2 3'
_cell_length_a 8.207
_cell_length_b 8.207
_cell_length_c 8.207
_cell_angle_alpha 90.00
_cell_angle_beta 90.00
_cell_angle_gamma 90.00
loop_
_atom_site_label
_atom_site_fract_x
_atom_site_fract_y
_atom_site_fract_z
_atom_site_occupancy
Ce1 0.000 0.000 0.000 1
Fe1 0.250 0.250 0.250 1
As1 0.000 0.157 0.342 1
```

Magnetic moment, μB/cell: 0.00
ΔE_f, meV per atom: -419
Crystal system: cubic